1.
{"formula": "Tm3MgCu8", "functional": "PBE", "state": "optimized geometry", "lattice_angstrom": [[-0.437, 5.035, 1.021], [-4.329, 2.515, -1.234], [-4.784, 0.712, 7.459]], "species": ["Tm", "Tm", "Tm", "Mg", "Cu", "Cu", "Cu", "Cu", "Cu", "Cu", "Cu", "Cu"], "frac_coords": [[0.378, 0.378, 0.865], [0.995, 0.995, 0.014], [0.505, 0.505, 0.486], [0.872, 0.872, 0.385], [0.942, 0.435, 0.189], [0.438, 0.938, 0.686], [0.435, 0.435, 0.189], [0.938, 0.938, 0.686], [0.188, 0.188, 0.435], [0.687, 0.687, 0.940], [0.435, 0.942, 0.189], [0.938, 0.438, 0.686]], "delta_e_f_ev_per_atom": -0.223, "space_group": "R3m (160)", "n_ef_per_ev_cell": 7.4}

=====

2.
{"formula": "Tm2MgCu3", "functional": "PBE", "state": "optimized geometry", "lattice_angstrom": [[4.733, 0.000, 0.000], [-2.367, 4.099, 0.000], [0.000, 0.000, 11.516]], "species": ["Tm", "Tm", "Tm", "Tm", "Mg", "Mg", "Cu", "Cu", "Cu", "Cu", "Cu", "Cu"], "frac_coords": [[0.000, 0.000, 0.500], [0.333, 0.667, 0.177], [0.667, 0.333, 0.823], [0.000, 0.000, 0.000], [0.333, 0.667, 0.664], [0.667, 0.333, 0.336], [0.333, 0.667, 0.423], [0.667, 0.333, 0.082], [0.000, 0.000, 0.747], [0.000, 0.000, 0.253], [0.333, 0.667, 0.918], [0.667, 0.333, 0.577]], "polymorph_energy_mev_per_atom": 0.0, "delta_e_f_ev_per_atom": -0.233, "space_group": "P-3m1 (164)", "n_ef_per_ev_cell": 5.9}

=====

3.
{"formula": "TmMg6Cu6", "functional": "PBE", "state": "optimized geometry", "lattice_angstrom": [[0.360, 0.194, 5.217], [5.432, -3.664, 2.386], [3.980, 5.305, 2.152]], "species": ["Tm", "Mg", "Mg", "Mg", "Mg", "Mg", "Mg", "Cu", "Cu", "Cu", "Cu", "Cu", "Cu"], "frac_coords": [[0.000, 0.000, 0.000], [0.345, 0.655, 0.655], [0.655, 0.345, 0.345], [0.000, 0.337, 0.663], [0.000, 0.663, 0.337], [0.312, 0.188, 0.188], [0.688, 0.812, 0.812], [0.000, 0.500, 0.000], [0.500, 0.500, 0.000], [0.000, 0.000, 0.500], [0.500, 0.000, 0.500], [0.500, 0.771, 0.229], [0.500, 0.229, 0.771]], "delta_e_f_ev_per_atom": -0.113, "space_group": "Immm (71)", "n_ef_per_ev_cell": 7.2}

=====

4.
{"formula": "TmMgZnCu", "functional": "PBE", "state": "optimized geometry", "lattice_angstrom": [[4.718, 0.000, 0.000], [2.359, 4.086, 0.000], [2.359, 1.362, 3.852]], "species": ["Zn", "Tm", "Mg", "Cu"], "frac_coords": [[0.500, 0.500, 0.500], [0.750, 0.750, 0.750], [0.250, 0.250, 0.250], [0.000, 0.000, 0.000]], "delta_e_f_ev_per_atom": -0.271, "space_group": "F-43m (216)", "n_ef_per_ev_cell": 1.6}

=====

5.
{"formula": "Tm2MgZn3Cu12", "functional": "PBE", "state": "optimized geometry", "lattice_angstrom": [[6.271, -1.408, -0.999], [1.873, 6.148, -0.999], [1.873, 1.090, 6.133]], "species": ["Tm", "Tm", "Mg", "Zn", "Zn", "Zn", "Cu", "Cu", "Cu", "Cu", "Cu", "Cu", "Cu", "Cu", "Cu", "Cu", "Cu", "Cu"], "frac_coords": [[0.704, 0.704, 0.704], [0.296, 0.296, 0.296], [0.000, 0.000, 0.000], [0.500, 0.000, 0.000], [0.000, 0.500, 0.000], [0.000, 0.000, 0.500], [0.414, 0.414, 0.868], [0.799, 0.799, 0.287], [0.287, 0.799, 0.799], [0.868, 0.414, 0.414], [0.799, 0.287, 0.799], [0.414, 0.868, 0.414], [0.586, 0.586, 0.132], [0.201, 0.201, 0.713], [0.713, 0.201, 0.201], [0.132, 0.586, 0.586], [0.201, 0.713, 0.201], [0.586, 0.132, 0.586]], "delta_e_f_ev_per_atom": 0.021, "space_group": "R-3m (166)", "n_ef_per_ev_cell": 8.4}

=====

6.
{"formula": "TmMgZrCu", "functional": "PBE", "state": "optimized geometry", "lattice_angstrom": [[4.924, 0.000, 0.000], [2.462, 4.264, 0.000], [2.462, 1.421, 4.020]], "species": ["Mg", "Tm", "Cu", "Zr"], "frac_coords": [[0.750, 0.750, 0.750], [0.000, 0.000, 0.000], [0.250, 0.250, 0.250], [0.500, 0.500, 0.500]], "delta_e_f_ev_per_atom": 0.046, "space_group": "F-43m (216)", "n_ef_per_ev_cell": 3.5}

=====

7.
{"formula": "Mg3VCu", "functional": "PBE", "state": "optimized geometry", "lattice_angstrom": [[5.176, 0.000, 0.000], [0.000, 5.176, 0.000], [0.000, 0.000, 5.176]], "species": ["Mg", "Mg", "Mg", "Cu", "V"], "frac_coords": [[0.000, 0.500, 0.000], [0.000, 0.000, 0.500], [0.500, 0.000, 0.000], [0.500, 0.500, 0.500], [0.000, 0.000, 0.000]], "polymorph_energy_mev_per_atom": 585.2, "delta_e_f_ev_per_atom": 1.155, "space_group": "Pm-3m (221)", "n_ef_per_ev_cell": 2.7}

=====

8.
{"formula": "Mg6VCu", "functional": "PBE", "state": "optimized geometry", "lattice_angstrom": [[1.979, 5.595, -1.525], [-5.157, -0.701, 3.234], [2.571, 0.221, 4.148]], "species": ["Mg", "Mg", "Mg", "Mg", "Mg", "Mg", "V", "Cu"], "frac_coords": [[0.167, 0.329, 0.500], [0.671, 0.833, 0.500], [0.337, 0.164, 0.000], [0.836, 0.663, 0.000], [0.324, 0.676, 0.000], [0.827, 0.173, 0.000], [0.670, 0.330, 0.500], [0.167, 0.833, 0.500]], "polymorph_energy_mev_per_atom": 6.4, "delta_e_f_ev_per_atom": 0.168, "space_group": "Amm2 (38)", "n_ef_per_ev_cell": 3.8}

=====

9.
{"formula": "Mg2VCu", "functional": "PBE", "state": "optimized geometry", "lattice_angstrom": [[2.809, 0.000, 0.000], [1.405, 2.433, 0.000], [1.405, 0.811, 9.878]], "species": ["Mg", "Mg", "Cu", "V"], "frac_coords": [[0.092, 0.092, 0.724], [0.908, 0.908, 0.276], [0.500, 0.500, 0.500], [0.000, 0.000, 0.000]], "polymorph_energy_mev_per_atom": 136.3, "delta_e_f_ev_per_atom": 0.449, "space_group": "R-3m (166)", "n_ef_per_ev_cell": 2.0}

=====

10.
{"formula": "Mg2VCu", "functional": "PBE", "state": "optimized geometry", "lattice_angstrom": [[0.000, 3.229, 3.229], [3.229, 0.000, 3.229], [3.229, 3.229, 0.000]], "species": ["Mg", "Mg", "Cu", "V"], "frac_coords": [[0.250, 0.250, 0.250], [0.750, 0.750, 0.750], [0.500, 0.500, 0.500], [0.000, 0.000, 0.000]], "polymorph_energy_mev_per_atom": 0.0, "delta_e_f_ev_per_atom": 0.313, "space_group": "Fm-3m (225)", "n_ef_per_ev_cell": 3.7}

=====

11.
{"formula": "Mg2VCu", "functional": "PBE", "state": "optimized geometry", "lattice_angstrom": [[7.394, 0.000, 0.000], [0.000, 7.394, 0.000], [3.697, 3.697, 2.761]], "species": ["Mg", "Mg", "Mg", "Mg", "Cu", "Cu", "V", "V"], "frac_coords": [[0.665, 0.125, 0.250], [0.085, 0.625, 0.250], [0.375, 0.335, 0.750], [0.875, 0.915, 0.750], [0.000, 0.000, 0.000], [0.750, 0.250, 0.500], [0.500, 0.500, 0.000], [0.250, 0.750, 0.500]], "polymorph_energy_mev_per_atom": 231.8, "delta_e_f_ev_per_atom": 0.545, "space_group": "I-42d (122)", "n_ef_per_ev_cell": 9.4}

=====

12.
{"formula": "Mg14VCu", "functional": "PBE", "state": "optimized geometry", "lattice_angstrom": [[0.464, 5.498, -2.905], [-5.615, -2.471, 1.119], [-0.306, 4.731, 8.905]], "species": ["Mg", "Mg", "Mg", "Mg", "Mg", "Mg", "Mg", "Mg", "Mg", "Mg", "Mg", "Mg", "Mg", "Mg", "V", "Cu"], "frac_coords": [[0.998, 0.499, 0.000], [0.003, 0.501, 0.500], [0.501, 0.002, 0.000], [0.499, 0.997, 0.500], [0.501, 0.499, 0.000], [0.499, 0.501, 0.500], [0.161, 0.839, 0.246], [0.161, 0.839, 0.754], [0.161, 0.323, 0.246], [0.161, 0.323, 0.754], [0.677, 0.839, 0.246], [0.677, 0.839, 0.754], [0.667, 0.333, 0.252], [0.667, 0.333, 0.748], [0.000, 0.000, 0.500], [0.000, 0.000, 0.000]], "delta_e_f_ev_per_atom": 0.083, "space_group": "P-6m2 (187)", "n_ef_per_ev_cell": 8.9}